(P)
LaHgTe after structural relaxation. Source: the Alexandria database, functional PBE-GGA.

Computed properties:
* calculated volume: 89.6 Å³/f.u.

```
3
Lattice="-4.472 -3.653 -1.750 -1.515 -5.840 0.104 -2.529 -0.741 3.165" Properties=species:S:1:pos:R:3 pbc="T T T"
Hg -2.534 -0.756 3.157
La -4.845 -6.604 -0.058
Te -3.664 -3.615 1.586
```

---

(Q)
LaHgTe after structural relaxation. Source: the Alexandria database, functional PBE-GGA.

Computed properties:
* calculated volume: 107.0 Å³/f.u.

```
3
Lattice="5.328 0.000 0.000 2.664 4.614 0.000 2.664 1.538 4.350" Properties=species:S:1:pos:R:3 pbc="T T T"
Hg 0.000 0.000 0.000
La 5.328 3.076 2.175
Te 7.992 4.614 3.263
```

---

Stability check: which of them is least stable? (Q).

---

(P)
LaHgTe after structural relaxation. Source: the Alexandria database, functional PBE-GGA.

Computed properties:
* calculated volume: 92.0 Å³/f.u.

```
3
Lattice="5.095 0.000 0.000 -2.547 4.412 0.000 0.000 0.000 4.092" Properties=species:S:1:pos:R:3 pbc="T T T"
Hg 0.000 0.000 4.018
La 2.547 1.471 1.196
Te 0.000 2.942 2.970
```

---

(Q)
LaHgTe after structural relaxation. Source: the Alexandria database, functional PBE-GGA.

Computed properties:
* calculated volume: 106.7 Å³/f.u.

```
3
Lattice="5.324 0.000 0.000 2.662 4.611 0.000 2.662 1.537 4.347" Properties=species:S:1:pos:R:3 pbc="T T T"
Hg 5.324 3.074 2.174
La 7.987 4.611 3.261
Te 0.000 0.000 0.000
```

---

Stability check: which of them is least stable? (P).